[1]
! NdInP2O8 GGA-PBE relaxed; values from VASP
&SYSTEM
  ibrav = 0, nat = 12, ntyp = 4
/
ATOMIC_SPECIES
Nd 144.24 Nd.upf
In 114.82 In.upf
P 30.97 P.upf
O 16.00 O.upf
CELL_PARAMETERS angstrom
5.1904 0.0000 0.0000
-2.5952 4.4950 0.0000
0.0000 0.0000 7.0567
ATOMIC_POSITIONS angstrom
Nd 0.0000 0.0000 0.0000
In 0.0000 0.0000 3.5284
P 2.5952 1.4983 1.5374
P 0.0000 2.9967 5.5194
O 0.0000 2.9967 7.0527
O 1.2661 0.8673 2.0258
O 3.8062 0.6628 2.0258
O 2.5952 1.4983 0.0040
O -1.2111 3.8322 5.0310
O 1.3291 3.6277 5.0310
O -0.1181 1.5301 5.0310
O 2.7132 2.9649 2.0258
! **Crystal system**: trigonal
! **Fermi-level density of states**: 0.000 states/eV/cell
! **Energy relative to the elements, uncorrected**: -29.081 eV/f.u.

[2]
! HoSnRh GGA-PBE relaxed; values from VASP
&SYSTEM
  ibrav = 0, nat = 9, ntyp = 3
/
ATOMIC_SPECIES
Ho 164.93 Ho.upf
Sn 118.71 Sn.upf
Rh 102.91 Rh.upf
CELL_PARAMETERS angstrom
-0.5854 -0.6763 -7.6169
6.3452 -2.3877 3.5853
-1.4976 -3.3592 0.4134
ATOMIC_POSITIONS angstrom
Ho 2.5510 -0.9600 1.4414
Ho 3.4441 -1.8322 -2.4107
Ho -0.2353 -0.2719 -3.0623
Sn 0.7878 -2.4970 -0.8689
Sn 3.9036 -3.4303 2.8355
Sn -1.1780 -2.1755 -5.3782
Rh 0.9760 -2.9264 -3.6761
Rh 3.2862 -3.4968 0.0579
Rh 0.0000 0.0000 0.0000
! **Crystal system**: hexagonal
! **Fermi-level density of states**: 4.654 states/eV/cell
! **Formation enthalpy at 0 K**: -0.909 eV per atom

[3]
! Ti2NbAuC GGA-PBE relaxed; values from VASP
&SYSTEM
  ibrav = 0, nat = 5, ntyp = 4
/
ATOMIC_SPECIES
Nb 92.91 Nb.upf
Au 196.97 Au.upf
C 12.01 C.upf
Ti 47.87 Ti.upf
CELL_PARAMETERS angstrom
4.2016 0.0000 0.0000
0.0000 4.2016 0.0000
0.0000 0.0000 4.2972
ATOMIC_POSITIONS angstrom
Nb 0.0000 0.0000 2.1486
Au 2.1008 2.1008 2.1486
C 0.0000 0.0000 0.0000
Ti 0.0000 2.1008 0.0000
Ti 2.1008 0.0000 0.0000
! **Crystal system**: tetragonal
! **Fermi-level density of states**: 5.027 states/eV/cell
! **Formation enthalpy at 0 K**: -0.476 eV per atom

[4]
! ZrCo4N4 GGA-PBE relaxed; values from VASP
&SYSTEM
  ibrav = 0, nat = 18, ntyp = 3
/
ATOMIC_SPECIES
Zr 91.22 Zr.upf
Co 58.93 Co.upf
N 14.01 N.upf
CELL_PARAMETERS angstrom
-1.5254 4.4202 1.2772
0.2364 0.4312 5.1642
6.6573 4.4392 1.5058
ATOMIC_POSITIONS angstrom
Zr 1.2535 1.5602 2.2310
Zr 4.1148 7.7304 5.7163
Co 4.5103 5.2090 2.5764
Co 0.8580 4.0816 5.3709
Co 5.0618 7.7006 3.0903
Co 0.3065 1.5900 4.8570
Co 1.9815 4.2986 2.6599
Co 3.3868 4.9919 5.2874
Co 2.8051 2.2895 4.5995
Co 2.5633 7.0010 3.3478
N 2.3552 3.1325 1.1294
N 3.0132 6.1581 6.8179
N 6.3022 4.8380 2.8100
N -0.9339 4.4525 5.1372
N 1.1174 2.9255 3.9038
N 4.2509 6.3650 4.0435
N 3.6573 3.7643 3.5332
N 1.7111 5.5262 4.4141
! **Crystal system**: triclinic
! **Fermi-level density of states**: 13.873 states/eV/cell
! **Energy relative to the elements, uncorrected**: -1.004 eV/f.u.

[5]
! BaNiRh2 GGA-PBE relaxed; values from VASP
&SYSTEM
  ibrav = 0, nat = 4, ntyp = 3
/
ATOMIC_SPECIES
Ba 137.33 Ba.upf
Ni 58.69 Ni.upf
Rh 102.91 Rh.upf
CELL_PARAMETERS angstrom
5.0139 -0.1219 0.0000
1.3592 4.8277 0.0000
-3.1866 -2.3529 3.0763
ATOMIC_POSITIONS angstrom
Ba 0.6796 2.4139 1.5382
Ni 2.5070 -0.0609 1.5382
Rh 0.0000 0.0000 0.0000
Rh 3.1866 2.3529 0.0000
! **Crystal system**: tetragonal
! **Fermi-level density of states**: 6.371 states/eV/cell
! **Formation enthalpy at 0 K**: 0.553 eV per atom

[6]
! PtRhW4 GGA-PBE relaxed; values from VASP
&SYSTEM
  ibrav = 0, nat = 6, ntyp = 3
/
ATOMIC_SPECIES
Pt 195.08 Pt.upf
Rh 102.91 Rh.upf
W 183.84 W.upf
CELL_PARAMETERS angstrom
0.0000 3.6810 3.6810
3.6810 0.0000 3.6810
3.6810 3.6810 0.0000
ATOMIC_POSITIONS angstrom
Pt 5.5215 5.5215 5.5215
Rh 0.0000 0.0000 0.0000
W 4.6013 2.7606 4.6013
W 2.7606 4.6013 4.6013
W 4.6013 4.6013 2.7606
W 2.7606 2.7606 2.7606
! **Crystal system**: cubic
! **Fermi-level density of states**: 5.383 states/eV/cell
! **Formation enthalpy at 0 K**: 0.358 eV per atom

[7]
! CdSO5 GGA-PBE relaxed; values from VASP
&SYSTEM
  ibrav = 0, nat = 28, ntyp = 3
/
ATOMIC_SPECIES
Cd 112.41 Cd.upf
S 32.06 S.upf
O 16.00 O.upf
CELL_PARAMETERS angstrom
-3.1697 -7.7249 0.3285
6.2655 -2.6138 -1.0083
4.2567 -1.4615 6.7052
ATOMIC_POSITIONS angstrom
Cd 1.4606 -7.3849 3.3737
Cd 7.9154 -5.4014 6.0152
Cd 5.8919 -4.4152 2.6517
Cd -0.5629 -6.3987 0.0103
S 2.3354 -1.6906 1.4977
S 3.9154 -6.8768 1.0687
S 5.0171 -10.1096 4.5277
S 3.4372 -4.9233 4.9567
O -1.3732 -8.0785 1.4724
O 5.2474 -6.2810 1.3404
O 8.7257 -3.7217 4.5531
O 2.1051 -5.5192 4.6850
O 1.6482 -2.2011 2.7076
O 4.0107 -7.8088 -0.0798
O 5.7043 -9.5990 3.3179
O 3.3418 -3.9913 6.1052
O 3.8122 -1.5585 1.8217
O 2.9465 -5.7711 0.6921
O 3.5403 -10.2416 4.2038
O 4.4060 -6.0291 5.3333
O 2.1677 -2.6318 0.3671
O 3.4084 -7.5798 2.2693
O 5.1848 -9.1683 5.6584
O 3.9441 -4.2204 3.7561
O 0.8781 -6.0057 1.6783
O 5.0914 -3.2472 0.9173
O 6.4744 -5.7944 4.3471
O 2.2611 -8.5530 5.1082
! **Crystal system**: monoclinic
! **Fermi-level density of states**: 14.189 states/eV/cell
! **Energy relative to the elements, uncorrected**: -5.495 eV/f.u.

[8]
! Li8H2N GGA-PBE relaxed; values from VASP
&SYSTEM
  ibrav = 0, nat = 11, ntyp = 3
/
ATOMIC_SPECIES
Li 6.94 Li.upf
H 1.01 H.upf
N 14.01 N.upf
CELL_PARAMETERS angstrom
-2.0412 -1.0467 2.6348
3.8964 -2.7516 1.9256
1.3027 8.4001 2.0302
ATOMIC_POSITIONS angstrom
Li 2.5597 5.0960 4.0074
Li -0.8281 1.3623 2.2156
Li 0.7097 3.0051 4.0596
Li -0.0942 6.5273 4.8359
Li 2.4481 1.5967 2.5310
Li 3.9859 3.2395 4.3749
Li 0.5981 -0.4942 2.5831
Li 3.2521 -1.9254 1.7546
H 0.6719 1.2574 3.3360
H 2.4859 3.3445 3.2545
N -1.0206 -0.5233 1.3174
! **Crystal system**: monoclinic
! **Total DFT energy (no corrections)**: -32.6 eV/cell
! **Fermi-level density of states**: 4.155 states/eV/cell

[9]
! BeZn4Au GGA-PBE relaxed; values from VASP
&SYSTEM
  ibrav = 0, nat = 6, ntyp = 3
/
ATOMIC_SPECIES
Be 9.01 Be.upf
Zn 65.41 Zn.upf
Au 196.97 Au.upf
CELL_PARAMETERS angstrom
0.0000 3.5264 3.5264
3.5264 0.0000 3.5264
3.5264 3.5264 0.0000
ATOMIC_POSITIONS angstrom
Be 0.0000 0.0000 0.0000
Zn 2.6434 4.4094 4.4094
Zn 4.4094 4.4094 2.6434
Zn 4.4094 2.6434 4.4094
Zn 2.6434 2.6434 2.6434
Au 5.2896 5.2896 5.2896
! **Crystal system**: cubic
! **Fermi-level density of states**: 0.340 states/eV/cell
! **Formation enthalpy at 0 K**: 0.158 eV per atom

[10]
! Cs3TeF GGA-PBE relaxed; values from VASP
&SYSTEM
  ibrav = 0, nat = 20, ntyp = 3
/
ATOMIC_SPECIES
Cs 132.91 Cs.upf
Te 127.60 Te.upf
F 19.00 F.upf
CELL_PARAMETERS angstrom
-8.0021 6.0766 5.0644
-7.9428 5.0777 -6.1430
-10.5975 -3.7713 0.2800
ATOMIC_POSITIONS angstrom
Cs -10.3704 5.0046 2.6087
Cs -9.0038 0.7738 -2.6554
Cs -7.8373 5.2000 -0.5050
Cs -4.2674 2.9178 2.2560
Cs -4.2407 2.4688 -2.7812
Cs -16.2048 2.9284 2.7629
Cs -9.0305 1.2227 2.3819
Cs -5.4339 -1.5084 0.1057
Cs -10.3377 4.4547 -3.5615
Cs -16.1721 2.3784 -3.4073
Cs -11.7992 -0.4171 -0.0253
Cs -14.7432 7.8001 -0.7733
Te -16.5890 4.6144 -0.4991
Te -12.6176 2.0755 2.5724
Te -12.5879 1.5761 -3.0313
Te -11.2903 6.5001 -0.6391
F -3.3178 0.9229 -0.0998
F -7.2892 3.4617 -3.1713
F -7.3189 3.9612 2.4324
F -8.6166 -0.9628 0.0402
! **Crystal system**: cubic
! **Fermi-level density of states**: 0.000 states/eV/cell
! **Energy relative to the elements, uncorrected**: -7.201 eV/f.u.

[11]
! HfIn2BAu GGA-PBE relaxed; values from VASP
&SYSTEM
  ibrav = 0, nat = 5, ntyp = 4
/
ATOMIC_SPECIES
Hf 178.49 Hf.upf
B 10.81 B.upf
Au 196.97 Au.upf
In 114.82 In.upf
CELL_PARAMETERS angstrom
-4.7346 1.5653 0.8566
-1.6086 -5.0749 0.3822
0.9265 0.0809 4.9735
ATOMIC_POSITIONS angstrom
Hf -0.8043 -2.5374 0.1911
B -2.7084 -1.7143 3.1061
Au 0.0000 0.0000 0.0000
In 0.4633 0.0404 2.4867
In -2.3673 0.7826 0.4283
! **Crystal system**: tetragonal
! **Fermi-level density of states**: 3.123 states/eV/cell
! **Formation enthalpy at 0 K**: 1.299 eV per atom

[12]
! SrIr2Se2 GGA-PBE relaxed; values from VASP
&SYSTEM
  ibrav = 0, nat = 5, ntyp = 3
/
ATOMIC_SPECIES
Sr 87.62 Sr.upf
Ir 192.22 Ir.upf
Se 78.96 Se.upf
CELL_PARAMETERS angstrom
-2.3380 2.3380 4.6813
2.3380 -2.3380 4.6813
2.3380 2.3380 -4.6813
ATOMIC_POSITIONS angstrom
Sr 0.0000 0.0000 0.0000
Ir 0.0000 0.0000 6.0132
Ir 0.0000 0.0000 3.3493
Se 2.3380 0.0000 2.3406
Se 0.0000 2.3380 2.3406
! **Crystal system**: tetragonal
! **Fermi-level density of states**: 1.769 states/eV/cell
! **Energy relative to the elements, uncorrected**: -2.095 eV/f.u.

| no. | density (kg/m3) |
| --- | --- |
| 1 | 4529 |
| 2 | 10214 |
| 3 | 8703 |
| 4 | 6987 |
| 5 | 8900 |
| 6 | 17202 |
| 7 | 3562 |
| 8 | 815 |
| 9 | 8854 |
| 10 | 3596 |
| 11 | 7485 |
| 12 | 10220 |